[1]
First-principles (PBE-GGA) data for crystalline AcH5Pd2 at its relaxed geometry, as listed in the Alexandria database.

Unit cell a=6.738 b=6.738 c=6.738 alpha=147.39 beta=147.39 gamma=46.79
Sites, in units of the cell vectors:
Ac1 0.000 0.000 0.000
H1 0.150 0.650 0.500
H2 0.350 0.850 0.500
H3 0.500 0.500 0.000
H4 0.650 0.150 0.500
H5 0.850 0.350 0.500
Pd1 0.346 0.346 0.000
Pd2 0.654 0.654 0.000

Computed properties:
Symmetry ... No. 139

=====

[2]
First-principles (PBE-GGA) data for crystalline Nb2WS6 at its relaxed geometry, as listed in the Alexandria database.

Unit cell a=5.993 b=6.059 c=10.739 alpha=90.00 beta=121.86 gamma=90.00
Sites, in units of the cell vectors:
Nb1 0.180 0.148 0.260
Nb2 0.180 0.352 0.760
Nb3 0.820 0.648 0.240
Nb4 0.820 0.852 0.740
W1 0.000 0.000 0.500
W2 0.000 0.500 0.000
S1 0.099 0.150 0.925
S2 0.099 0.350 0.425
S3 0.261 0.685 0.918
S4 0.261 0.815 0.418
S5 0.404 0.037 0.730
S6 0.404 0.463 0.230
S7 0.596 0.537 0.770
S8 0.596 0.963 0.270
S9 0.739 0.185 0.582
S10 0.739 0.315 0.082
S11 0.901 0.650 0.575
S12 0.901 0.850 0.075

Computed properties:
Symmetry ... No. 14

=====

[3]
First-principles (PBE-GGA) data for crystalline TlZn2Cu at its relaxed geometry, as listed in the Alexandria database.

Unit cell a=5.864 b=5.864 c=5.864 alpha=151.35 beta=130.23 gamma=58.43
Sites, in units of the cell vectors:
Tl1 0.000 0.000 0.000
Zn1 0.289 0.789 0.500
Zn2 0.711 0.211 0.500
Cu1 0.500 0.500 0.000

Computed properties:
Symmetry ... No. 71
ΔH_f (0 K) ... 0.209 eV per atom
Relative energy among the computed polymorphs ... 31 kJ/mol of formula units

=====

[4]
First-principles (PBE-GGA) data for crystalline Li3Sc at its relaxed geometry, as listed in the Alexandria database.

Unit cell a=5.402 b=5.402 c=5.373 alpha=101.93 beta=101.93 gamma=32.80
Sites, in units of the cell vectors:
Li1 0.000 0.000 0.000
Li2 0.259 0.259 0.765
Li3 0.741 0.741 0.235
Sc1 0.500 0.500 0.500

Computed properties:
Symmetry ... No. 12
ΔH_f (0 K) ... 0.175 eV per atom
Relative energy among the computed polymorphs ... 27 kJ/mol of formula units

=====

[5]
First-principles (PBE-GGA) data for crystalline Sc6SnRh5 at its relaxed geometry, as listed in the Alexandria database.

Unit cell a=8.036 b=8.036 c=8.036 alpha=146.70 beta=130.86 gamma=60.66
Sites, in units of the cell vectors:
Sc1 0.069 0.327 0.741
Sc2 0.231 0.000 0.231
Sc3 0.414 0.673 0.741
Sc4 0.586 0.327 0.259
Sc5 0.769 0.000 0.769
Sc6 0.931 0.673 0.259
Sn1 0.500 0.500 0.000
Rh1 0.000 0.500 0.500
Rh2 0.168 0.168 0.000
Rh3 0.336 0.836 0.500
Rh4 0.664 0.164 0.500
Rh5 0.832 0.832 0.000

Computed properties:
Symmetry ... No. 71
ΔH_f (0 K) ... -0.899 eV per atom

=====

[6]
First-principles (PBE-GGA) data for crystalline Pr4Zn3 at its relaxed geometry, as listed in the Alexandria database.

Unit cell a=8.916 b=8.916 c=8.916 alpha=34.02 beta=34.02 gamma=34.02
Sites, in units of the cell vectors:
Pr1 0.121 0.121 0.121
Pr2 0.373 0.373 0.373
Pr3 0.627 0.627 0.627
Pr4 0.879 0.879 0.879
Zn1 0.247 0.247 0.247
Zn2 0.500 0.500 0.500
Zn3 0.753 0.753 0.753

Computed properties:
Symmetry ... No. 166
ΔH_f (0 K) ... -0.172 eV per atom
Relative energy among the computed polymorphs ... 24 kJ/mol of formula units

=====

[7]
First-principles (PBE-GGA) data for crystalline YTe2 at its relaxed geometry, as listed in the Alexandria database.

Unit cell a=6.215 b=5.475 c=10.101 alpha=90.00 beta=90.00 gamma=90.00
Sites, in units of the cell vectors:
Y1 0.203 0.250 0.112
Y2 0.297 0.750 0.612
Y3 0.703 0.250 0.388
Y4 0.797 0.750 0.888
Te1 0.092 0.250 0.772
Te2 0.207 0.250 0.442
Te3 0.293 0.750 0.942
Te4 0.408 0.750 0.272
Te5 0.592 0.250 0.728
Te6 0.707 0.250 0.058
Te7 0.793 0.750 0.558
Te8 0.908 0.750 0.228

Computed properties:
Symmetry ... No. 62

=====

[8]
First-principles (PBE-GGA) data for crystalline PmMg2Zn2 at its relaxed geometry, as listed in the Alexandria database.

Unit cell a=4.721 b=4.721 c=6.306 alpha=111.91 beta=111.91 gamma=60.03
Sites, in units of the cell vectors:
Pm1 0.000 0.000 0.000
Mg1 0.208 0.208 0.624
Mg2 0.792 0.792 0.376
Zn1 0.422 0.422 0.266
Zn2 0.578 0.578 0.734

Computed properties:
Symmetry ... No. 12
ΔH_f (0 K) ... -0.210 eV per atom
Relative energy among the computed polymorphs ... 0 kJ/mol of formula units

=====

Record-wise total moment values, in μB/cell: 0.0, 0.0, 0.0, 0.0, 0.0, 0.0, 0.0, 0.0
Record-wise total DFT energy (no corrections) values, in eV/cell: -33.6, -126.9, -8.2, -11.4, -89.5, -24.1, -62.4, -11.5